1.
Entry from Alexandria: a relaxed structure of TlGe2Te6Au (PBE).

Calculated values
The total energy is -67.5 eV/cell. The calculated volume is 35.4 Å³ per atom. For the uncorrected formation energy, the calculation gives 0.00 eV/atom. As for the space group: C2/c.

```
TlGe2Te6Au
1.0
6.978 -0.108 -0.112
2.049 10.049 0.814
2.049 0.441 10.072
Te Ge Tl Au
12 4 2 2
Direct
0.973 0.391 0.890
0.776 0.053 0.214
0.724 0.786 0.947
0.473 0.890 0.391
0.986 0.728 0.535
0.486 0.535 0.728
0.527 0.110 0.609
0.276 0.214 0.053
0.224 0.947 0.786
0.514 0.465 0.272
0.027 0.609 0.110
0.014 0.272 0.465
0.800 0.626 0.765
0.200 0.374 0.235
0.700 0.235 0.374
0.300 0.765 0.626
0.750 0.125 0.875
0.250 0.875 0.125
0.250 0.296 0.704
0.750 0.704 0.296
```

2.
Entry from Alexandria: a relaxed structure of Tl2Te5Au4 (PBE).

Calculated values
The total energy is -32.8 eV/cell. The calculated volume is 31.7 Å³ per atom. For the uncorrected formation energy, the calculation gives 0.06 eV/atom. As for the space group: C2/m.

```
Tl2Te5Au4
1.0
6.733 0.000 0.000
3.366 8.450 -0.516
3.366 1.534 6.042
Tl Te Au
2 5 4
Direct
0.835 0.022 0.308
0.165 0.978 0.692
0.844 0.716 0.114
0.327 0.716 0.114
0.000 0.500 0.500
0.156 0.284 0.886
0.673 0.284 0.886
0.758 0.742 0.742
0.242 0.258 0.258
0.414 0.938 0.235
0.586 0.062 0.765
```